{
  "formula": "BeTcB4",
  "functional": "PBE-GGA",
  "state": "optimized geometry",
  "de_polymorph_kj_per_mol_fu": 55,
  "magnetic_moment_mub_per_fu": 0.05,
  "cell": [[-1.8204, -2.0924, 0.9188], [1.0755, -0.0882, -2.7151], [5.0267, -3.4498, 2.1032]],
  "species": ["B", "B", "B", "B", "Be", "Tc"],
  "fractional_positions": [[0.6667, 0.3333, 0.2269], [0.3333, 0.6667, 0.2269], [0.6667, 0.3333, 0.7731], [0.3333, 0.6667, 0.7731], [0.0000, 0.0000, 0.0000], [0.0000, 0.0000, 0.5000]]
}